# BeSiSeBr2 | Alexandria | PBE-GGA | relaxed
data_BeSiSeBr2
_chemical_formula_sum 'Be1 Si1 Se1 Br2'
_cell_length_a 5.0110
_cell_length_b 5.0110
_cell_length_c 5.0135
_cell_angle_alpha 90.00
_cell_angle_beta 90.00
_cell_angle_gamma 90.00
_symmetry_space_group_name_H-M 'P 4/m m m'
_symmetry_Int_Tables_number 123
_symmetry_space_group_name_Hall '-P 4 2'
loop_
_atom_site_label
_atom_site_type_symbol
_atom_site_fract_x
_atom_site_fract_y
_atom_site_fract_z
Be1 Be 0.0000 0.0000 0.0000
Si1 Si 0.5000 0.5000 0.5000
Se1 Se 0.5000 0.5000 0.0000
Br1 Br 0.0000 0.5000 0.5000
# * VASP energy: -2.665 eV per atom
# * formation energy (no corrections): 256 kJ/mol of formula units



# GdMgAu | Alexandria | PBE-GGA | relaxed
data_GdMgAu
_chemical_formula_sum 'Gd4 Mg4 Au4'
_cell_length_a 6.8275
_cell_length_b 6.8275
_cell_length_c 6.8275
_cell_angle_alpha 90.00
_cell_angle_beta 90.00
_cell_angle_gamma 90.00
_symmetry_space_group_name_H-M 'F -4 3 m'
_symmetry_Int_Tables_number 216
_symmetry_space_group_name_Hall 'F -4 2 3'
loop_
_atom_site_label
_atom_site_type_symbol
_atom_site_fract_x
_atom_site_fract_y
_atom_site_fract_z
Gd1 Gd 0.0000 0.0000 0.0000
Mg1 Mg 0.0000 0.0000 0.5000
Au1 Au 0.2500 0.2500 0.2500
# * VASP energy: -6.830 eV per atom
# * DFT formation energy: -0.512 eV per atom



# Zr12Zn6Ir | Alexandria | PBE-GGA | relaxed
data_Zr12Zn6Ir
_chemical_formula_sum 'Zr36 Zn18 Ir3'
_cell_length_a 10.1518
_cell_length_b 10.1518
_cell_length_c 12.7139
_cell_angle_alpha 90.00
_cell_angle_beta 90.00
_cell_angle_gamma 120.00
_symmetry_space_group_name_H-M 'R -3'
_symmetry_Int_Tables_number 148
_symmetry_space_group_name_Hall '-R 3'
loop_
_atom_site_label
_atom_site_type_symbol
_atom_site_fract_x
_atom_site_fract_y
_atom_site_fract_z
Zr1 Zr 0.0360 0.8500 0.3189
Zr2 Zr 0.0661 0.2180 0.9114
Zn1 Zn 0.0362 0.5935 0.2042
Ir1 Ir 0.0000 0.0000 0.5000
# * VASP energy: -6.411 eV per atom
# * DFT formation energy: -0.143 eV per atom



# Li2AlAu | Alexandria | PBE-GGA | relaxed
data_Li2AlAu
_chemical_formula_sum 'Li2 Al1 Au1'
_cell_length_a 2.8648
_cell_length_b 4.4996
_cell_length_c 4.9340
_cell_angle_alpha 90.00
_cell_angle_beta 90.07
_cell_angle_gamma 90.00
_symmetry_space_group_name_H-M 'P 1 m 1'
_symmetry_Int_Tables_number 6
_symmetry_space_group_name_Hall 'P -2y'
loop_
_atom_site_label
_atom_site_type_symbol
_atom_site_fract_x
_atom_site_fract_y
_atom_site_fract_z
Li1 Li 0.0000 0.0000 0.0000
Li2 Li 0.0030 0.5000 0.6990
Al1 Al 0.5021 0.5000 0.2128
Au1 Au 0.5009 0.0000 0.4979
# * VASP energy: -3.082 eV per atom
# * DFT formation energy: -0.370 eV per atom



Record order is preserved below.
Theoretical density: 3639 7900 7372 6209 kg/m³